1.
Here is a relaxed Tb4Dy7Zr crystal from the Alexandria database. Energies are from PBE-GGA.

Its uncorrected energy is -0.1804 hartree per atom. The value obtained for the formation energy from the elements is 31 meV/atom.

The structure belongs to space group P-1 (No. 2); the cell edges are 6.136, 7.098 and 8.733 Å and the angles 89.95°, 76.43° and 89.96°. The distinct sites, in fractional coordinates, are Tb at (0.217, 0.000, 0.326), Tb at (0.274, 0.755, 0.672), Dy at (0.000, 0.500, 0.000), Dy at (0.225, 0.500, 0.337), Dy at (0.274, 0.245, 0.673), Dy at (0.500, 0.243, 0.000) and Zr at (0.000, 0.000, 0.000).

---

2.
Here is a relaxed Tb5Dy8Zr crystal from the Alexandria database. Energies are from PBE-GGA.

Its uncorrected energy is -0.1728 hartree per atom. The value obtained for the formation energy from the elements is 191 meV/atom.

The structure belongs to space group C2 (No. 5); the cell edges are 13.660, 9.716 and 9.277 Å and the angles 90.00°, 132.29° and 90.00°. The distinct sites, in fractional coordinates, are Tb at (0.000, 0.000, 0.000), Tb at (0.000, 0.766, 0.287), Tb at (0.177, 0.424, 0.981), Dy at (0.002, 0.122, 0.319), Dy at (0.179, 0.424, 0.376), Dy at (0.213, 0.620, 0.712), Dy at (0.220, 0.744, 0.220) and Zr at (0.000, 0.386, 0.500).

---

3.
Here is a relaxed TbDyZr crystal from the Alexandria database. Energies are from PBE-GGA.

Its uncorrected energy is -0.2106 hartree per atom. The value obtained for the formation energy from the elements is 197 meV/atom. As for the polymorph energy (0 for the lowest one): 116 meV/atom.

The structure belongs to space group P4/nmm (No. 129, origin choice 2); the cell edges are 4.669, 4.669 and 8.257 Å and the angles 90.00°, 90.00° and 90.00°. The distinct sites, in fractional coordinates, are Tb at (0.250, 0.250, 0.212), Dy at (0.250, 0.250, 0.786) and Zr at (0.250, 0.750, 0.500).